Below is a relaxed structure of K3SrNi2F9, with properties calculated at the GGA+U level.

The mass density is 3.45 Mg/m³. The total energy is -4.5696 eV per atom.

The structure belongs to space group P-3m1 (No. 164); the cell edges are 5.9556, 5.9556 and 7.7264 Å and the angles 90.00°, 90.00° and 120.00°. The asymmetric unit holds K at (0.0000, 0.0000, 0.0000), K at (0.3333, 0.6667, 0.7169), Sr at (0.0000, 0.0000, 0.5000), Ni at (0.3333, 0.6667, 0.1533), F at (0.0000, 0.5000, 0.0000) and F at (0.1752, 0.3505, 0.3022).